Below is crystalline PrDy2WO8 at its relaxed geometry, with properties calculated at the PBE+U level.

a = 5.0607 Å, b = 5.0607 Å, c = 7.0170 Å
α = 90.00°, β = 90.00°, γ = 90.47°
Element x y z (fractional)
Pr 0.0000 0.0000 0.0000
Dy 0.5000 0.5000 0.2598
Dy 0.5000 0.5000 0.7402
W 0.0000 0.0000 0.5000
O 0.1849 0.8151 0.2955
O 0.1849 0.8151 0.7045
O 0.2762 0.2762 0.5000
O 0.3201 0.3201 0.0000
O 0.6799 0.6799 0.0000
O 0.7238 0.7238 0.5000
O 0.8151 0.1849 0.2955
O 0.8151 0.1849 0.7045

Calculated values
* N(E_F): 0.38 states/eV per atom
* symmetry: Cmmm (65)
* E_tot: -94.6 eV per cell
* M_tot: 0.0753 μB per atom